Entry 1:
Below is a relaxed PmSm5Tl2 crystal, with properties calculated at the PBE level.

Properties
energy relative to the elements	-48	meV per atom
symmetry	P6_3/mmc
Fermi-level density of states	30.0	states/eV/cell
size of the total moment	0.000	μB/atom
electronic total energy	-4.18	eV/atom

Cell and atoms, written as POSCAR:
```
PmSm5Tl2
1.0
5.5381 0.0000 0.0000
-2.7691 4.7962 0.0000
0.0000 0.0000 20.3480
Pm Sm Tl
2 10 4
Direct
0.3333 0.6667 0.2500 Pm
0.6667 0.3333 0.7500 Pm
0.0000 0.0000 0.1624 Sm
0.0000 0.0000 0.3376 Sm
0.0000 0.0000 0.6624 Sm
0.0000 0.0000 0.8376 Sm
0.3333 0.6667 0.5638 Sm
0.3333 0.6667 0.7500 Sm
0.3333 0.6667 0.9362 Sm
0.6667 0.3333 0.0638 Sm
0.6667 0.3333 0.2500 Sm
0.6667 0.3333 0.4362 Sm
0.3333 0.6667 0.0930 Tl
0.3333 0.6667 0.4070 Tl
0.6667 0.3333 0.5930 Tl
0.6667 0.3333 0.9070 Tl
```

---

Entry 2:
Below is a relaxed La8Te4PIr3 crystal, with properties calculated at the PBE level.

Properties
symmetry	R-3m
Fermi-level density of states	10.9	states/eV/cell
formation energy without anion corrections	-20.36	eV/f.u.
size of the total moment	0.000	μB/atom
electronic total energy	-6.52	eV/atom

Cell and atoms, written as POSCAR:
```
La8Te4PIr3
1.0
4.3284 2.4990 7.5801
-4.3284 2.4990 7.5801
0.0000 -4.9980 7.5801
La Te P Ir
8 4 1 3
Direct
0.2302 0.7397 0.7397 La
0.2377 0.2377 0.2377 La
0.2603 0.2603 0.7698 La
0.2603 0.7698 0.2603 La
0.7397 0.2302 0.7397 La
0.7397 0.7397 0.2302 La
0.7623 0.7623 0.7623 La
0.7698 0.2603 0.2603 La
0.0000 0.0000 0.0000 Te
0.0000 0.5000 0.5000 Te
0.5000 0.0000 0.5000 Te
0.5000 0.5000 0.0000 Te
0.5000 0.5000 0.5000 P
0.0000 0.0000 0.5000 Ir
0.0000 0.5000 0.0000 Ir
0.5000 0.0000 0.0000 Ir
```

---

Entry 3:
Below is a relaxed La6SiSb2Te3 crystal, with properties calculated at the PBE level.

Properties
symmetry	C2/m
Fermi-level density of states	4.6	states/eV/cell
formation energy without anion corrections	-16.63	eV/f.u.
size of the total moment	0.000	μB/atom
electronic total energy	-5.77	eV/atom

Cell and atoms, written as POSCAR:
```
La6SiSb2Te3
1.0
9.9898 -2.2801 0.0000
9.9898 2.2801 0.0000
-2.1425 0.0000 8.9357
La Si Sb Te
6 1 2 3
Direct
0.0003 0.0003 0.2279 La
0.9997 0.9997 0.7721 La
0.3325 0.3325 0.4208 La
0.3431 0.3431 0.9176 La
0.6569 0.6569 0.0824 La
0.6675 0.6675 0.5792 La
0.5000 0.5000 0.0000 Si
0.1665 0.1665 0.3338 Sb
0.8335 0.8335 0.6662 Sb
0.1697 0.1697 0.8345 Te
0.5000 0.5000 0.5000 Te
0.8303 0.8303 0.1655 Te
```

---

Entry 4:
Below is a relaxed SrGaSbTe2 crystal, with properties calculated at the PBE level.

Properties
symmetry	P4/mmm
Fermi-level density of states	4.7	states/eV/cell
formation energy without anion corrections	-1.54	eV/f.u.
size of the total moment	0.000	μB/atom
electronic total energy	-3.33	eV/atom

Cell and atoms, written as POSCAR:
```
SrGaSbTe2
1.0
5.6830 0.0000 0.0000
0.0000 5.6830 0.0000
0.0000 0.0000 5.1506
Sr Ga Sb Te
1 1 1 2
Direct
0.0000 0.0000 0.0000 Sr
0.5000 0.5000 0.5000 Ga
0.5000 0.5000 0.0000 Sb
0.0000 0.5000 0.5000 Te
0.5000 0.0000 0.5000 Te
```

---

Entry 5:
Below is a relaxed In2AsBr crystal, with properties calculated at the PBE level.

Properties
symmetry	Cmmm
Fermi-level density of states	5.1	states/eV/cell
formation energy without anion corrections	-0.47	eV/f.u.
size of the total moment	0.000	μB/atom
electronic total energy	-3.07	eV/atom

Cell and atoms, written as POSCAR:
```
In2AsBr
1.0
5.6079 0.0000 0.0000
0.0000 9.3104 0.0000
0.0000 0.0000 4.3338
In As Br
4 2 2
Direct
0.0000 0.2020 0.0000 In
0.0000 0.7980 0.0000 In
0.5000 0.2980 0.0000 In
0.5000 0.7020 0.0000 In
0.0000 0.0000 0.5000 As
0.5000 0.5000 0.5000 As
0.0000 0.5000 0.5000 Br
0.5000 0.0000 0.5000 Br
```

---

Entry 6:
Below is a relaxed TeRuBr2 crystal, with properties calculated at the PBE level.

Properties
symmetry	Imm2
Fermi-level density of states	5.5	states/eV/cell
formation energy without anion corrections	0.93	eV/f.u.
size of the total moment	0.000	μB/atom
electronic total energy	-3.71	eV/atom

Cell and atoms, written as POSCAR:
```
TeRuBr2
1.0
3.3890 0.0000 0.0000
0.0000 5.0222 0.0000
0.0000 0.0000 11.7887
Te Ru Br
2 2 4
Direct
0.0000 0.0000 0.0000 Te
0.5000 0.5000 0.5000 Te
0.0000 0.5000 0.3401 Ru
0.5000 0.0000 0.8401 Ru
0.0000 0.0000 0.6498 Br
0.0000 0.5000 0.8415 Br
0.5000 0.0000 0.3415 Br
0.5000 0.5000 0.1498 Br
```

---

Entry 7:
Below is a relaxed PrY2Sn crystal, with properties calculated at the PBE level.

Properties
energy relative to the elements	-233	meV per atom
symmetry	R3m
Fermi-level density of states	10.2	states/eV/cell
size of the total moment	0.000	μB/atom
electronic total energy	-5.66	eV/atom

Cell and atoms, written as POSCAR:
```
PrY2Sn
1.0
3.6299 0.0000 0.0000
-1.8149 3.1435 0.0000
0.0000 0.0000 32.8740
Pr Y Sn
3 6 3
Direct
0.0000 0.0000 0.0000 Pr
0.3333 0.6667 0.6667 Pr
0.6667 0.3333 0.3333 Pr
0.0000 0.0000 0.2425 Y
0.0000 0.0000 0.4240 Y
0.3333 0.6667 0.0907 Y
0.3333 0.6667 0.9091 Y
0.6667 0.3333 0.5758 Y
0.6667 0.3333 0.7573 Y
0.0000 0.0000 0.8335 Sn
0.3333 0.6667 0.5001 Sn
0.6667 0.3333 0.1668 Sn
```

---

Entry 8:
Below is a relaxed LiTaCo2 crystal, with properties calculated at the PBE level.

Properties
energy relative to the elements	195	meV per atom
symmetry	Pmm2
Fermi-level density of states	3.9	states/eV/cell
size of the total moment	0.093	μB/atom
electronic total energy	-6.80	eV/atom

Cell and atoms, written as POSCAR:
```
LiTaCo2
1.0
2.6513 0.0000 0.0000
0.0000 3.8269 0.0000
0.0000 0.0000 5.0025
Li Ta Co
1 1 2
Direct
0.0000 0.0000 0.0000 Li
0.5000 0.5000 0.3000 Ta
0.0000 0.0000 0.5358 Co
0.5000 0.5000 0.8052 Co
```

---

Entry 9:
Below is a relaxed NbSn2RuBr crystal, with properties calculated at the PBE level.

Properties
symmetry	P4/mmm
Fermi-level density of states	8.4	states/eV/cell
formation energy without anion corrections	8.22	eV/f.u.
size of the total moment	0.150	μB/atom
electronic total energy	-4.16	eV/atom

Cell and atoms, written as POSCAR:
```
NbSn2RuBr
1.0
5.3190 0.0000 0.0000
0.0000 5.3190 0.0000
0.0000 0.0000 4.6736
Nb Sn Ru Br
1 2 1 1
Direct
0.0000 0.0000 0.0000 Nb
0.0000 0.5000 0.5000 Sn
0.5000 0.0000 0.5000 Sn
0.5000 0.5000 0.0000 Ru
0.0000 0.0000 0.5000 Br
```

---

Entry 10:
Below is a relaxed Ca5Cd2Ag crystal, with properties calculated at the PBE level.

Properties
energy relative to the elements	-251	meV per atom
symmetry	I4/mcm
Fermi-level density of states	12.5	states/eV/cell
size of the total moment	0.000	μB/atom
electronic total energy	-2.09	eV/atom

Cell and atoms, written as POSCAR:
```
Ca5Cd2Ag
1.0
-4.0931 4.0931 7.5648
4.0931 -4.0931 7.5648
4.0931 4.0931 -7.5648
Ca Cd Ag
10 4 2
Direct
0.0000 0.0000 0.0000 Ca
0.0161 0.5161 0.8328 Ca
0.1834 0.0161 0.5000 Ca
0.3166 0.8166 0.8328 Ca
0.4839 0.3166 0.5000 Ca
0.5000 0.5000 0.0000 Ca
0.5161 0.6834 0.5000 Ca
0.6834 0.1834 0.1672 Ca
0.8166 0.9839 0.5000 Ca
0.9839 0.4839 0.1672 Ca
0.1286 0.3714 0.5000 Cd
0.3714 0.8714 0.2429 Cd
0.6286 0.1286 0.7571 Cd
0.8714 0.6286 0.5000 Cd
0.2500 0.2500 0.0000 Ag
0.7500 0.7500 0.0000 Ag
```

---

Entry 11:
Below is a relaxed Cs2Na2Al crystal, with properties calculated at the PBE level.

Properties
energy relative to the elements	260	meV per atom
symmetry	P4/mbm
Fermi-level density of states	7.1	states/eV/cell
size of the total moment	0.151	μB/atom
electronic total energy	-1.36	eV/atom

Cell and atoms, written as POSCAR:
```
Cs2Na2Al
1.0
8.6446 0.0000 0.0000
0.0000 8.6446 0.0000
0.0000 0.0000 6.7275
Cs Na Al
4 4 2
Direct
0.1865 0.3135 0.0000 Cs
0.3135 0.8135 0.0000 Cs
0.6865 0.1865 0.0000 Cs
0.8135 0.6865 0.0000 Cs
0.1576 0.6576 0.5000 Na
0.3424 0.1576 0.5000 Na
0.6576 0.8424 0.5000 Na
0.8424 0.3424 0.5000 Na
0.0000 0.0000 0.5000 Al
0.5000 0.5000 0.5000 Al
```

---

Entry 12:
Below is a relaxed CsTlHgI2 crystal, with properties calculated at the PBE level.

Properties
symmetry	C2/m
Fermi-level density of states	0.0	states/eV/cell
formation energy without anion corrections	-4.06	eV/f.u.
size of the total moment	0.000	μB/atom
electronic total energy	-2.14	eV/atom

Cell and atoms, written as POSCAR:
```
CsTlHgI2
1.0
8.7980 -2.7190 0.0000
8.7980 2.7190 0.0000
-0.7615 0.0000 11.4762
Cs Tl Hg I
2 2 2 4
Direct
0.1621 0.1621 0.1544 Cs
0.8379 0.8379 0.8456 Cs
0.3885 0.3885 0.3619 Tl
0.6115 0.6115 0.6381 Tl
0.2010 0.2010 0.5036 Hg
0.7990 0.7990 0.4964 Hg
0.1715 0.1715 0.8248 I
0.4310 0.4310 0.6709 I
0.5690 0.5690 0.3291 I
0.8285 0.8285 0.1752 I
```

---

Entry 13:
Below is a relaxed BeRhCl2 crystal, with properties calculated at the PBE level.

Properties
symmetry	Immm
Fermi-level density of states	6.7	states/eV/cell
formation energy without anion corrections	0.38	eV/f.u.
size of the total moment	0.251	μB/atom
electronic total energy	-3.60	eV/atom

Cell and atoms, written as POSCAR:
```
BeRhCl2
1.0
2.9658 0.0000 0.0000
0.0000 6.1490 0.0000
0.0000 0.0000 7.4662
Be Rh Cl
2 2 4
Direct
0.0000 0.0000 0.0000 Be
0.5000 0.5000 0.5000 Be
0.0000 0.0000 0.5000 Rh
0.5000 0.5000 0.0000 Rh
0.0000 0.5000 0.2977 Cl
0.0000 0.5000 0.7023 Cl
0.5000 0.0000 0.2023 Cl
0.5000 0.0000 0.7977 Cl
```

---

Entry 14:
Below is a relaxed CaNdHo2Au4 crystal, with properties calculated at the PBE level.

Properties
energy relative to the elements	-811	meV per atom
symmetry	R-3m
Fermi-level density of states	5.0	states/eV/cell
size of the total moment	0.000	μB/atom
electronic total energy	-4.44	eV/atom

Cell and atoms, written as POSCAR:
```
CaNdHo2Au4
1.0
2.5617 1.4790 8.4038
-2.5617 1.4790 8.4038
0.0000 -2.9580 8.4038
Ca Nd Ho Au
1 1 2 4
Direct
0.0000 0.0000 0.0000 Ca
0.5000 0.5000 0.5000 Nd
0.2527 0.2527 0.2527 Ho
0.7473 0.7473 0.7473 Ho
0.1256 0.1256 0.1256 Au
0.3764 0.3764 0.3764 Au
0.6236 0.6236 0.6236 Au
0.8744 0.8744 0.8744 Au
```

---

Entry 15:
Below is a relaxed Tm2Mg3Hg2 crystal, with properties calculated at the PBE level.

Properties
energy relative to the elements	-223	meV per atom
symmetry	C2/m
Fermi-level density of states	10.0	states/eV/cell
size of the total moment	0.000	μB/atom
electronic total energy	-2.27	eV/atom

Cell and atoms, written as POSCAR:
```
Tm2Mg3Hg2
1.0
10.8387 0.0000 0.0000
0.0000 4.4559 0.0000
-1.0780 0.0000 7.1609
Tm Mg Hg
4 6 4
Direct
0.1209 0.0000 0.3549 Tm
0.3791 0.5000 0.6451 Tm
0.6209 0.5000 0.3549 Tm
0.8791 0.0000 0.6451 Tm
0.0000 0.5000 0.0000 Mg
0.1895 0.0000 0.8731 Mg
0.3105 0.5000 0.1269 Mg
0.5000 0.0000 0.0000 Mg
0.6895 0.5000 0.8731 Mg
0.8105 0.0000 0.1269 Mg
0.1041 0.5000 0.6550 Hg
0.3959 0.0000 0.3450 Hg
0.6041 0.0000 0.6550 Hg
0.8959 0.5000 0.3450 Hg
```

---

Entry 16:
Below is a relaxed SrYTa3 crystal, with properties calculated at the PBE level.

Properties
energy relative to the elements	2008	meV per atom
symmetry	Pm-3m
Fermi-level density of states	10.4	states/eV/cell
size of the total moment	0.000	μB/atom
electronic total energy	-6.73	eV/atom

Cell and atoms, written as POSCAR:
```
SrYTa3
1.0
5.1441 0.0000 0.0000
0.0000 5.1441 0.0000
0.0000 0.0000 5.1441
Sr Y Ta
1 1 3
Direct
0.0000 0.0000 0.0000 Sr
0.5000 0.5000 0.5000 Y
0.0000 0.5000 0.5000 Ta
0.5000 0.0000 0.5000 Ta
0.5000 0.5000 0.0000 Ta
```